# La3ZnN, optimized geometry, DFT GGA-PBE
data_La3ZnN
_cell_length_a 6.010
_cell_length_b 6.786
_cell_length_c 7.507
_cell_angle_alpha 104.30
_cell_angle_beta 90.32
_cell_angle_gamma 103.41
_space_group_name_H-M_alt 'P -1'
_space_group_IT_number 2
_space_group_name_Hall '-P 1'
loop_
_atom_site_label
_atom_site_type_symbol
_atom_site_fract_x
_atom_site_fract_y
_atom_site_fract_z
La1 La 0.138 0.162 0.235
La2 La 0.249 0.512 0.868
La3 La 0.320 0.754 0.409
Zn1 Zn 0.397 0.026 0.860
N1 N 0.148 0.477 0.165
# DOS(E_F): 0.929 states/eV per atom
# formation energy from raw total energies: -58 kJ per mole of atoms